RbZnNi2F8 after structural relaxation. Source: Alexandria via LeMat-Bulk, functional GGA+U.

Output
As for the total DFT energy (no corrections): -3.953 eV per atom.

abc: 4.682 4.733 8.456
angles: 95.05 90.50 93.98
Space group P-1 (No. 2)
One atom of each set of equivalent atoms:
1 Rb 0.000 0.000 0.000 [1 per cell]
2 Zn 0.000 0.000 0.500 [1 per cell]
3 Ni 0.499 0.471 0.320 [2 per cell]
4 F 0.180 0.198 0.323 [2 per cell]
5 F 0.202 0.237 0.685 [2 per cell]
6 F 0.322 0.701 0.495 [2 per cell]
7 F 0.424 0.678 0.882 [2 per cell]